Record 1
# meta-GGA SCAN ScSi3, PBEsol geometry
data_ScSi3
_chemical_formula_sum 'Sc1 Si3'
_cell_length_a 5.055
_cell_length_b 5.055
_cell_length_c 5.055
_cell_angle_alpha 116.30
_cell_angle_beta 116.30
_cell_angle_gamma 116.30
_space_group_name_H-M_alt 'P 1'
_space_group_IT_number 1
loop_
_space_group_symop_operation_xyz
'x,y,z'
loop_
_atom_site_label
_atom_site_type_symbol
_atom_site_fract_x
_atom_site_fract_y
_atom_site_fract_z
_atom_site_occupancy
Sc1 Sc 0.000 0.000 0.000 1
Si1 Si 0.000 0.500 0.500 1
Si2 Si 0.500 0.000 0.500 1
Si3 Si 0.500 0.500 0.000 1
# - N(E_F): 2.0 states/eV/f.u.



Record 2
# meta-GGA SCAN ScSi, PBEsol geometry
data_ScSi
_chemical_formula_sum 'Sc2 Si2'
_cell_length_a 5.292
_cell_length_b 5.292
_cell_length_c 3.634
_cell_angle_alpha 90.00
_cell_angle_beta 90.00
_cell_angle_gamma 136.22
_space_group_name_H-M_alt 'P 1'
_space_group_IT_number 1
loop_
_space_group_symop_operation_xyz
'x,y,z'
loop_
_atom_site_label
_atom_site_type_symbol
_atom_site_fract_x
_atom_site_fract_y
_atom_site_fract_z
_atom_site_occupancy
Sc1 Sc 0.139 0.861 0.750 1
Sc2 Sc 0.861 0.139 0.250 1
Si1 Si 0.419 0.581 0.750 1
Si2 Si 0.581 0.419 0.250 1
# - N(E_F): 1.0 states/eV/f.u.



Record 3
# meta-GGA SCAN Sc2Si, PBEsol geometry
data_Sc2Si
_chemical_formula_sum 'Sc2 Si1'
_cell_length_a 6.604
_cell_length_b 6.604
_cell_length_c 6.604
_cell_angle_alpha 153.53
_cell_angle_beta 153.53
_cell_angle_gamma 37.79
_space_group_name_H-M_alt 'P 1'
_space_group_IT_number 1
loop_
_space_group_symop_operation_xyz
'x,y,z'
loop_
_atom_site_label
_atom_site_type_symbol
_atom_site_fract_x
_atom_site_fract_y
_atom_site_fract_z
_atom_site_occupancy
Sc1 Sc 0.146 0.146 0.000 1
Sc2 Sc 0.854 0.854 0.000 1
Si1 Si 0.500 0.500 0.000 1
# - N(E_F): 2.0 states/eV/f.u.



Record 4
# meta-GGA SCAN ScSi2, PBEsol geometry
data_ScSi2
_chemical_formula_sum 'Sc2 Si4'
_cell_length_a 5.167
_cell_length_b 5.167
_cell_length_c 5.763
_cell_angle_alpha 104.05
_cell_angle_beta 104.05
_cell_angle_gamma 43.07
_space_group_name_H-M_alt 'P 1'
_space_group_IT_number 1
loop_
_space_group_symop_operation_xyz
'x,y,z'
loop_
_atom_site_label
_atom_site_type_symbol
_atom_site_fract_x
_atom_site_fract_y
_atom_site_fract_z
_atom_site_occupancy
Sc1 Sc 0.170 0.170 0.211 1
Sc2 Sc 0.830 0.830 0.789 1
Si1 Si 0.112 0.112 0.654 1
Si2 Si 0.447 0.447 0.156 1
Si3 Si 0.553 0.553 0.844 1
Si4 Si 0.888 0.888 0.346 1
# - N(E_F): 0.8 states/eV/f.u.



Record 5
# meta-GGA SCAN Sc3Si, PBEsol geometry
data_Sc3Si
_chemical_formula_sum 'Sc3 Si1'
_cell_length_a 5.585
_cell_length_b 5.585
_cell_length_c 5.585
_cell_angle_alpha 116.83
_cell_angle_beta 116.83
_cell_angle_gamma 116.83
_space_group_name_H-M_alt 'P 1'
_space_group_IT_number 1
loop_
_space_group_symop_operation_xyz
'x,y,z'
loop_
_atom_site_label
_atom_site_type_symbol
_atom_site_fract_x
_atom_site_fract_y
_atom_site_fract_z
_atom_site_occupancy
Sc1 Sc 0.000 0.500 0.500 1
Sc2 Sc 0.500 0.000 0.500 1
Sc3 Sc 0.500 0.500 0.000 1
Si1 Si 0.000 0.000 0.000 1
# - N(E_F): 3.0 states/eV/f.u.
# - Energy relative to the lowest polymorph listed for this composition: 30.3 kJ/mol of atoms



Record 6
# meta-GGA SCAN Sc3Si, PBEsol geometry
data_Sc3Si
_chemical_formula_sum 'Sc12 Si4'
_cell_length_a 7.158
_cell_length_b 8.376
_cell_length_c 5.614
_cell_angle_alpha 90.00
_cell_angle_beta 90.00
_cell_angle_gamma 90.00
_space_group_name_H-M_alt 'P 1'
_space_group_IT_number 1
loop_
_space_group_symop_operation_xyz
'x,y,z'
loop_
_atom_site_label
_atom_site_type_symbol
_atom_site_fract_x
_atom_site_fract_y
_atom_site_fract_z
_atom_site_occupancy
Sc1 Sc 0.031 0.250 0.110 1
Sc2 Sc 0.174 0.051 0.657 1
Sc3 Sc 0.174 0.449 0.657 1
Sc4 Sc 0.326 0.551 0.157 1
Sc5 Sc 0.326 0.949 0.157 1
Sc6 Sc 0.469 0.750 0.610 1
Sc7 Sc 0.531 0.250 0.390 1
Sc8 Sc 0.674 0.051 0.843 1
Sc9 Sc 0.674 0.449 0.843 1
Sc10 Sc 0.826 0.551 0.343 1
Sc11 Sc 0.826 0.949 0.343 1
Sc12 Sc 0.969 0.750 0.890 1
Si1 Si 0.116 0.750 0.435 1
Si2 Si 0.384 0.250 0.935 1
Si3 Si 0.616 0.750 0.065 1
Si4 Si 0.884 0.250 0.565 1
# - N(E_F): 3.9 states/eV/f.u.
# - Energy relative to the lowest polymorph listed for this composition: 0.0 kJ/mol of atoms



Record 7
# meta-GGA SCAN ScSi2, PBEsol geometry
data_ScSi2
_chemical_formula_sum 'Sc1 Si2'
_cell_length_a 3.617
_cell_length_b 3.617
_cell_length_c 4.139
_cell_angle_alpha 90.00
_cell_angle_beta 90.00
_cell_angle_gamma 90.00
_space_group_name_H-M_alt 'P 1'
_space_group_IT_number 1
loop_
_space_group_symop_operation_xyz
'x,y,z'
loop_
_atom_site_label
_atom_site_type_symbol
_atom_site_fract_x
_atom_site_fract_y
_atom_site_fract_z
_atom_site_occupancy
Sc1 Sc 0.000 0.000 0.000 1
Si1 Si 0.000 0.500 0.500 1
Si2 Si 0.500 0.000 0.500 1
# - N(E_F): 0.7 states/eV/f.u.



Record 8
# meta-GGA SCAN Sc5Si, PBEsol geometry
data_Sc5Si
_chemical_formula_sum 'Sc5 Si1'
_cell_length_a 6.990
_cell_length_b 6.990
_cell_length_c 4.320
_cell_angle_alpha 90.00
_cell_angle_beta 90.00
_cell_angle_gamma 144.29
_space_group_name_H-M_alt 'P 1'
_space_group_IT_number 1
loop_
_space_group_symop_operation_xyz
'x,y,z'
loop_
_atom_site_label
_atom_site_type_symbol
_atom_site_fract_x
_atom_site_fract_y
_atom_site_fract_z
_atom_site_occupancy
Sc1 Sc 0.000 0.000 0.000 1
Sc2 Sc 0.155 0.845 0.500 1
Sc3 Sc 0.335 0.665 0.000 1
Sc4 Sc 0.665 0.335 0.000 1
Sc5 Sc 0.845 0.155 0.500 1
Si1 Si 0.500 0.500 0.500 1
# - N(E_F): 6.9 states/eV/f.u.



Number 1: calculated total energy -0.4034 Ha/atom, M_tot 0.00 μB per formula unit. Number 2: calculated total energy -0.4772 Ha/atom, M_tot 0.00 μB per formula unit. Number 3: calculated total energy -0.4862 Ha/atom, M_tot 0.00 μB per formula unit. Number 4: calculated total energy -0.4366 Ha/atom, M_tot 0.00 μB per formula unit. Number 5: calculated total energy -0.4906 Ha/atom, M_tot 0.00 μB per formula unit. Number 6: calculated total energy -0.5021 Ha/atom, M_tot 0.59 μB per formula unit. Number 7: calculated total energy -0.4327 Ha/atom, M_tot 0.00 μB per formula unit. Number 8: calculated total energy -0.5047 Ha/atom, M_tot 1.24 μB per formula unit.